1.
A relaxed structure of Mg2Au. Source: Alexandria, functional GGA-PBEsol.

a b c (Å): 13.3831 13.3831 13.3831
angles (deg): 162.44 162.44 24.94
Atoms (fractional coordinates):
Mg 0.1252 0.3752 0.7500
Mg 0.2885 0.5385 0.7500
Mg 0.3752 0.1252 0.2500
Mg 0.4615 0.7115 0.7500
Mg 0.5385 0.2885 0.2500
Mg 0.6248 0.8748 0.7500
Mg 0.7115 0.4615 0.2500
Mg 0.8748 0.6248 0.2500
Au 0.0455 0.7955 0.2500
Au 0.2045 0.9545 0.2500
Au 0.7955 0.0455 0.7500
Au 0.9545 0.2045 0.7500

## Properties
The density of states at the Fermi level is 0.332 states/eV per atom. As for the total energy: -2.8588 eV per atom. The calculation puts the formation energy at -406 meV/atom.

=====

2.
A relaxed structure of CeCo2Si2. Source: Alexandria, functional GGA-PBEsol.

a b c (Å): 5.5742 5.5742 5.5742
angles (deg): 139.24 139.24 59.01
Atoms (fractional coordinates):
Ce 0.0000 0.0000 0.0000
Co 0.2500 0.7500 0.5000
Co 0.7500 0.2500 0.5000
Si 0.3704 0.3704 0.0000
Si 0.6296 0.6296 0.0000

## Properties
The density of states at the Fermi level is 1.030 states/eV per atom. As for the total energy: -7.5150 eV per atom. The formation energy from raw total energies is -0.8024 eV/atom.

=====

3.
A relaxed structure of CaAuF2. Source: Alexandria, functional GGA-PBEsol.

a b c (Å): 6.6853 6.6853 6.6853
angles (deg): 130.89 130.89 71.98
Atoms (fractional coordinates):
Ca 0.0000 0.0000 0.0000
Ca 0.7500 0.2500 0.5000
Au 0.2500 0.7500 0.5000
Au 0.5000 0.5000 0.0000
F 0.0347 0.1250 0.4097
F 0.3750 0.9653 0.0903
F 0.7153 0.6250 0.5903
F 0.8750 0.2847 0.9097

## Properties
The density of states at the Fermi level is 0.149 states/eV per atom. As for the total energy: -4.4897 eV per atom. The formation energy from raw total energies is -2.0117 eV/atom.

=====

4.
A relaxed structure of SrLi2Hg. Source: Alexandria, functional GGA-PBEsol.

a b c (Å): 5.9305 5.9305 5.9305
angles (deg): 141.63 126.30 67.91
Atoms (fractional coordinates):
Sr 0.0000 0.0000 0.0000
Li 0.2917 0.7917 0.5000
Li 0.7083 0.2083 0.5000
Hg 0.5000 0.5000 0.0000

## Properties
The density of states at the Fermi level is 0.681 states/eV per atom. As for the total energy: -1.8227 eV per atom. The calculation puts the formation energy at -238 meV/atom.

=====

5.
A relaxed structure of CsB10H13C. Source: Alexandria, functional GGA-PBEsol.

a b c (Å): 7.9505 10.4418 11.9926
angles (deg): 90.00 93.14 90.00
Atoms (fractional coordinates):
Cs 0.1540 0.2428 0.0125
Cs 0.1540 0.2572 0.5125
Cs 0.8460 0.7428 0.4875
Cs 0.8460 0.7572 0.9875
B 0.0910 0.6257 0.7416
B 0.0910 0.8743 0.2416
B 0.1833 0.5674 0.8689
B 0.1833 0.9326 0.3689
B 0.1842 0.0301 0.2497
B 0.1842 0.4699 0.7497
B 0.2185 0.5689 0.6347
B 0.2185 0.9311 0.1347
B 0.2263 0.7281 0.8256
B 0.2263 0.7719 0.3256
B 0.2273 0.7305 0.6728
B 0.2273 0.7695 0.1728
B 0.3631 0.0199 0.3421
B 0.3631 0.4801 0.8421
B 0.3899 0.0203 0.1972
B 0.3899 0.4797 0.6972
B 0.4204 0.6358 0.6436
B 0.4204 0.8642 0.1436
B 0.4951 0.0921 0.7157
B 0.4951 0.4079 0.2157
B 0.5049 0.5921 0.7843
B 0.5049 0.9079 0.2843
B 0.5796 0.1358 0.8564
B 0.5796 0.3642 0.3564
B 0.6101 0.5203 0.3028
B 0.6101 0.9797 0.8028
B 0.6369 0.5199 0.1579
B 0.6369 0.9801 0.6579
B 0.7727 0.2305 0.8272
B 0.7727 0.2695 0.3272
B 0.7737 0.2281 0.6744
B 0.7737 0.2719 0.1744
B 0.7815 0.0689 0.8653
B 0.7815 0.4311 0.3653
B 0.8158 0.5301 0.2503
B 0.8158 0.9699 0.7503
B 0.8167 0.0674 0.6311
B 0.8167 0.4326 0.1311
B 0.9090 0.1257 0.7584
B 0.9090 0.3743 0.2584
H 0.0599 0.1369 0.7713
H 0.0599 0.3631 0.2713
H 0.0997 0.1256 0.2413
H 0.0997 0.3744 0.7413
H 0.1064 0.5480 0.9510
H 0.1064 0.9520 0.4510
H 0.1607 0.5473 0.5413
H 0.1607 0.9527 0.0413
H 0.1654 0.6875 0.1129
H 0.1654 0.8125 0.6129
H 0.1732 0.6858 0.3805
H 0.1732 0.8142 0.8805
H 0.3134 0.7057 0.2482
H 0.3134 0.7943 0.7482
H 0.3471 0.0769 0.6921
H 0.3471 0.4231 0.1921
H 0.4187 0.1024 0.4034
H 0.4187 0.3976 0.9034
H 0.4232 0.6537 0.9649
H 0.4232 0.8463 0.4649
H 0.4513 0.1112 0.1523
H 0.4513 0.3888 0.6523
H 0.4980 0.2013 0.7800
H 0.4980 0.2987 0.2800
H 0.5003 0.1445 0.9387
H 0.5003 0.3555 0.4387
H 0.4997 0.6445 0.5613
H 0.4997 0.8555 0.0613
H 0.5020 0.7013 0.7200
H 0.5020 0.7987 0.2200
H 0.5487 0.6112 0.3477
H 0.5487 0.8888 0.8477
H 0.5768 0.1537 0.5351
H 0.5768 0.3463 0.0351
H 0.5813 0.6024 0.0966
H 0.5813 0.8976 0.5966
H 0.6529 0.5769 0.8079
H 0.6529 0.9231 0.3079
H 0.6866 0.2057 0.2518
H 0.6866 0.2943 0.7518
H 0.8268 0.1858 0.1195
H 0.8268 0.3142 0.6195
H 0.8346 0.1875 0.3871
H 0.8346 0.3125 0.8871
H 0.8393 0.0473 0.9587
H 0.8393 0.4527 0.4587
H 0.8936 0.0480 0.5490
H 0.8936 0.4520 0.0490
H 0.9003 0.6256 0.2587
H 0.9003 0.8744 0.7587
H 0.9401 0.6369 0.7287
H 0.9401 0.8631 0.2287
C 0.3744 0.6339 0.8796
C 0.3744 0.8661 0.3796
C 0.6256 0.1339 0.6204
C 0.6256 0.3661 0.1204

## Properties
The density of states at the Fermi level is 0.000 states/eV per atom. As for the total energy: -5.1548 eV per atom.

=====

6.
A relaxed structure of SbSe. Source: Alexandria, functional GGA-PBEsol.

a b c (Å): 4.1736 4.1736 4.1736
angles (deg): 60.00 60.00 60.00
Atoms (fractional coordinates):
Sb 0.0000 0.0000 0.0000
Se 0.5000 0.5000 0.5000

## Properties
The density of states at the Fermi level is 0.677 states/eV per atom. As for the total energy: -4.2687 eV per atom. The formation energy from raw total energies is -0.0649 eV/atom.

=====

7.
A relaxed structure of HoErAl2. Source: Alexandria, functional GGA-PBEsol.

a b c (Å): 4.9889 4.9889 4.9889
angles (deg): 60.00 60.00 60.00
Atoms (fractional coordinates):
Ho 0.0000 0.0000 0.0000
Er 0.5000 0.5000 0.5000
Al 0.2500 0.2500 0.2500
Al 0.7500 0.7500 0.7500

## Properties
The density of states at the Fermi level is 0.344 states/eV per atom. As for the total energy: -4.9187 eV per atom. The calculation puts the formation energy at -404 meV/atom.

=====

8.
A relaxed structure of Li2TlPt. Source: Alexandria, functional GGA-PBEsol.

a b c (Å): 4.3918 4.3918 4.3918
angles (deg): 60.00 60.00 60.00
Atoms (fractional coordinates):
Li 0.2500 0.2500 0.2500
Li 0.7500 0.7500 0.7500
Tl 0.0000 0.0000 0.0000
Pt 0.5000 0.5000 0.5000

## Properties
The density of states at the Fermi level is 0.324 states/eV per atom. As for the total energy: -3.7704 eV per atom. The calculation puts the formation energy at -389 meV/atom.

=====

9.
A relaxed structure of La2CuHg. Source: Alexandria, functional GGA-PBEsol.

a b c (Å): 5.2759 5.2759 3.7350
angles (deg): 90.00 90.00 90.00
Atoms (fractional coordinates):
La 0.0000 0.5000 0.0000
La 0.5000 0.0000 0.0000
Cu 0.0000 0.0000 0.5000
Hg 0.5000 0.5000 0.5000

## Properties
The density of states at the Fermi level is 1.121 states/eV per atom. As for the total energy: -4.1689 eV per atom. The calculation puts the formation energy at -270 meV/atom.

=====

10.
A relaxed structure of YBe3Rh. Source: Alexandria, functional GGA-PBEsol.

a b c (Å): 4.4398 4.4398 4.4398
angles (deg): 90.00 90.00 90.00
Atoms (fractional coordinates):
Y 0.0000 0.0000 0.0000
Be 0.0000 0.0000 0.5000
Be 0.0000 0.5000 0.0000
Be 0.5000 0.0000 0.0000
Rh 0.5000 0.5000 0.5000

## Properties
The density of states at the Fermi level is 0.996 states/eV per atom. As for the total energy: -3.0842 eV per atom. For the polymorph energy (0 for the lowest one), the calculation gives 2514 meV per atom. The calculation puts the formation energy at 2308 meV/atom.

=====

11.
A relaxed structure of BaY2P. Source: Alexandria, functional GGA-PBEsol.

a b c (Å): 3.8290 3.8290 8.2713
angles (deg): 90.00 90.00 90.00
Atoms (fractional coordinates):
Ba 0.0000 0.0000 0.0000
Y 0.0000 0.0000 0.3858
Y 0.5000 0.5000 0.6382
P 0.5000 0.5000 0.2948

## Properties
The density of states at the Fermi level is 1.288 states/eV per atom. As for the total energy: -5.9671 eV per atom. The calculation puts the formation energy at -571 meV/atom.

=====

12.
A relaxed structure of BaNbCr2Ni. Source: Alexandria, functional GGA-PBEsol.

a b c (Å): 4.7651 4.7651 4.8516
angles (deg): 90.00 90.00 90.00
Atoms (fractional coordinates):
Ba 0.0000 0.0000 0.0000
Nb 0.5000 0.5000 0.5000
Cr 0.0000 0.5000 0.5000
Cr 0.5000 0.0000 0.5000
Ni 0.5000 0.5000 0.0000

## Properties
The density of states at the Fermi level is 0.988 states/eV per atom. As for the total energy: -6.8105 eV per atom. The calculation puts the formation energy at 1112 meV/atom.

=====

13.
A relaxed structure of Li3AgN. Source: Alexandria, functional GGA-PBEsol.

a b c (Å): 3.9358 3.9358 3.9358
angles (deg): 90.00 90.00 90.00
Atoms (fractional coordinates):
Li 0.0000 0.0000 0.5000
Li 0.0000 0.5000 0.0000
Li 0.5000 0.0000 0.0000
Ag 0.5000 0.5000 0.5000
N 0.0000 0.0000 0.0000

## Properties
The density of states at the Fermi level is 0.379 states/eV per atom. As for the total energy: -3.6847 eV per atom. The formation energy from raw total energies is -0.1371 eV/atom.

=====

14.
A relaxed structure of Ba3Mg. Source: Alexandria, functional GGA-PBEsol.

a b c (Å): 6.4158 8.0671 7.1261
angles (deg): 90.00 90.00 90.00
Atoms (fractional coordinates):
Ba 0.2500 0.0033 0.1626
Ba 0.2500 0.4967 0.1626
Ba 0.2500 0.7500 0.6325
Ba 0.7500 0.2500 0.3675
Ba 0.7500 0.5033 0.8374
Ba 0.7500 0.9967 0.8374
Mg 0.2500 0.2500 0.6815
Mg 0.7500 0.7500 0.3185

## Properties
The density of states at the Fermi level is 1.470 states/eV per atom. As for the total energy: -2.0055 eV per atom. For the polymorph energy (0 for the lowest one), the calculation gives 51 meV per atom. The calculation puts the formation energy at 36 meV/atom.

=====

15.
A relaxed structure of Ni3TeH. Source: Alexandria, functional GGA-PBEsol.

a b c (Å): 3.7557 3.7557 3.7557
angles (deg): 90.00 90.00 90.00
Atoms (fractional coordinates):
Ni 0.0000 0.0000 0.5000
Ni 0.0000 0.5000 0.0000
Ni 0.5000 0.0000 0.0000
Te 0.5000 0.5000 0.5000
H 0.0000 0.0000 0.0000

## Properties
The density of states at the Fermi level is 0.982 states/eV per atom. As for the total energy: -5.1023 eV per atom.

=====

16.
A relaxed structure of Fe3PW. Source: Alexandria, functional GGA-PBEsol.

a b c (Å): 4.0144 4.0144 4.0144
angles (deg): 90.00 90.00 90.00
Atoms (fractional coordinates):
Fe 0.0000 0.0000 0.5000
Fe 0.0000 0.5000 0.0000
Fe 0.5000 0.0000 0.0000
P 0.0000 0.0000 0.0000
W 0.5000 0.5000 0.5000

## Properties
The density of states at the Fermi level is 1.427 states/eV per atom. As for the total energy: -8.6954 eV per atom. The calculation puts the formation energy at 603 meV/atom.

=====

17.
A relaxed structure of ZrPb2CCl. Source: Alexandria, functional GGA-PBEsol.

a b c (Å): 5.2013 5.2013 4.3494
angles (deg): 90.00 90.00 90.00
Atoms (fractional coordinates):
Zr 0.0000 0.0000 0.0000
Pb 0.0000 0.5000 0.5000
Pb 0.5000 0.0000 0.5000
C 0.0000 0.0000 0.5000
Cl 0.5000 0.5000 0.0000

## Properties
The density of states at the Fermi level is 0.524 states/eV per atom. As for the total energy: -5.3009 eV per atom. The formation energy from raw total energies is 0.4469 eV/atom.

=====

18.
A relaxed structure of Li2CdRe2. Source: Alexandria, functional GGA-PBEsol.

a b c (Å): 7.5772 7.5772 7.5772
angles (deg): 153.42 153.42 37.94
Atoms (fractional coordinates):
Li 0.0991 0.0991 0.0000
Li 0.9009 0.9009 0.0000
Cd 0.5000 0.5000 0.0000
Re 0.2500 0.7500 0.5000
Re 0.7500 0.2500 0.5000

## Properties
The density of states at the Fermi level is 0.536 states/eV per atom. As for the total energy: -5.7849 eV per atom. The calculation puts the formation energy at 574 meV/atom.

=====

19.
A relaxed structure of TlC2. Source: Alexandria, functional GGA-PBEsol.

a b c (Å): 3.4874 3.4874 4.2800
angles (deg): 90.00 90.00 120.00
Atoms (fractional coordinates):
Tl 0.0000 0.0000 0.0000
C 0.3333 0.6667 0.3510
C 0.3333 0.6667 0.6490

## Properties
The density of states at the Fermi level is 0.177 states/eV per atom. As for the total energy: -5.7777 eV per atom. For the polymorph energy (0 for the lowest one), the calculation gives 675 meV per atom. The calculation puts the formation energy at 1528 meV/atom.

=====

20.
A relaxed structure of CaAg2Br. Source: Alexandria, functional GGA-PBEsol.

a b c (Å): 3.8028 5.7896 4.1419
angles (deg): 90.00 90.62 90.00
Atoms (fractional coordinates):
Ca 0.0000 0.0000 0.0000
Ag 0.2474 0.5000 0.7540
Ag 0.7526 0.5000 0.2460
Br 0.5000 0.0000 0.5000

## Properties
The density of states at the Fermi level is 0.388 states/eV per atom. As for the total energy: -3.1236 eV per atom. For the polymorph energy (0 for the lowest one), the calculation gives 0 meV per atom. The formation energy from raw total energies is -0.4672 eV/atom.